Record 1
VASP calculation (PBE) on KNa2Ga2Au2 after structural relaxation.

Values from the calculation:
Space group: No. 12
Magnetic moment in μB per cell: 0.0
Raw total energy in eV/f.u.: -18.168
Fermi-level density of states in states/eV/atom: 0.516
Formation energy from the elements in eV per atom: -0.2605

Lattice parameters (Å, degrees): 4.5543 4.5535 10.3985 102.80 90.00 120.01
Fractional positions:
1 Na 0.1382 0.2764 0.4147
2 Na 0.8618 0.7236 0.5853
3 Ga 0.4163 0.8325 0.2503
4 Ga 0.5837 0.1675 0.7497
5 Au 0.2473 0.4946 0.7406
6 Au 0.7527 0.5054 0.2594
7 K 0.0000 0.0000 0.0000

Record 2
VASP calculation (PBE) on K2NaGaAu after structural relaxation.

Values from the calculation:
Space group: No. 123
Magnetic moment in μB per cell: 0.0
Raw total energy in eV/f.u.: -10.255
Fermi-level density of states in states/eV/atom: 0.718
Formation energy from the elements in eV per atom: -0.0874

Lattice parameters (Å, degrees): 6.5100 6.5100 4.9129 90.00 90.00 90.00
Fractional positions:
1 Au 0.0000 0.0000 0.0000
2 K 0.5000 0.0000 0.0000
3 K 0.0000 0.5000 0.0000
4 Na 0.5000 0.5000 0.5000
5 Ga 0.0000 0.0000 0.5000

Record 3
VASP calculation (PBE) on KNa2GaAu2 after structural relaxation.

Values from the calculation:
Space group: No. 26
Magnetic moment in μB per cell: 0.0
Raw total energy in eV/f.u.: -14.903
Fermi-level density of states in states/eV/atom: 0.291
Formation energy from the elements in eV per atom: -0.2644

Lattice parameters (Å, degrees): 4.8225 7.8783 8.1420 90.00 90.00 90.00
Fractional positions:
1 Au 0.5000 0.8145 0.6088
2 Au 0.5000 0.3145 0.3912
3 Au 0.0000 0.7052 0.1768
4 Au 0.0000 0.2052 0.8232
5 Na 0.0000 0.8424 0.8426
6 Na 0.0000 0.3424 0.1574
7 Na 0.5000 0.5116 0.9312
8 Na 0.5000 0.0116 0.0688
9 Ga 0.5000 0.6553 0.3046
10 Ga 0.5000 0.1553 0.6954
11 K 0.0000 0.5166 0.5736
12 K 0.0000 0.0166 0.4264

- Among the records above, which one has the highest Fermi-level density of states?
  K2NaGaAu

- Which of these has the highest Fermi-level density of states?
  K2NaGaAu

- What is the formula in the second record?
  K2NaGaAu

- Which formula does entry 3 have?
  KNa2GaAu2